1.
Below is a relaxed Sm5ErSc2 crystal, with properties calculated at the PBE-GGA level.

Lattice parameters (Å, degrees): 8.981 8.981 12.434 90.00 90.00 90.00
Space group I4/mcm (No. 140)
Unique sites:
Sm  0.000  0.000  0.000
Sm  0.150  0.350  0.159
Er  0.000  0.000  0.250
Sc  0.146  0.354  0.500

Summary:
Its energy of formation is 129 meV per atom. The total energy comes out at -159.2 eV for the cell shown. Its total magnetization is 0.86 μB/cell. The calculation puts the density of states at the Fermi level at 40.4 states/eV/cell.


2.
Below is a relaxed Sm5Er4Sc3 crystal, with properties calculated at the PBE-GGA level.

Lattice parameters (Å, degrees): 15.785 5.752 9.192 90.00 117.22 90.00
Space group C2/m (No. 12)
Unique sites:
Sm  0.000  0.000  0.000
Sm  0.073  0.000  0.701
Sm  0.209  0.500  0.235
Er  0.084  0.500  0.440
Er  0.211  0.500  0.879
Sc  0.000  0.500  0.000
Sc  0.175  0.000  0.390

Summary:
Its energy of formation is 234 meV per atom. The total energy comes out at -116.1 eV for the cell shown. Its total magnetization is 0.77 μB/cell. The calculation puts the density of states at the Fermi level at 41.2 states/eV/cell.


3.
Below is a relaxed SmEr6Sc crystal, with properties calculated at the PBE-GGA level.

Lattice parameters (Å, degrees): 6.429 6.661 6.752 117.75 103.08 91.65
Space group P-1 (No. 2)
Unique sites:
Sm  0.000  0.000  0.000
Er  0.239  0.586  0.496
Er  0.254  0.557  0.007
Er  0.274  0.097  0.535
Sc  0.500  0.000  0.000

Summary:
Its energy of formation is 211 meV per atom. The total energy comes out at -36.7 eV for the cell shown. Its total magnetization is 0.00 μB/cell. The calculation puts the density of states at the Fermi level at 13.6 states/eV/cell.


4.
Below is a relaxed Sm15Er2Sc2 crystal, with properties calculated at the PBE-GGA level.

Lattice parameters (Å, degrees): 11.1049 11.1049 17.8985 90.00 90.00 120.00
Space group R-3m (No. 166, hexagonal axes)
Unique sites:
Sm  0.0000  0.2926  0.0000
Sm  0.0000  0.5000  0.5000
Sm  0.0210  0.5105  0.1322
Er  0.0000  0.0000  0.3119
Sc  0.0000  0.0000  0.0891

Summary:
Its energy of formation is 286 meV per atom. The total energy comes out at -261.4 eV for the cell shown. Its total magnetization is 0.08 μB/cell. The calculation puts the density of states at the Fermi level at 99.0 states/eV/cell.


5.
Below is a relaxed Sm2Er7Sc crystal, with properties calculated at the PBE-GGA level.

Lattice parameters (Å, degrees): 6.412 28.384 3.442 90.00 90.00 90.00
Space group Cmmm (No. 65)
Unique sites:
Sm  0.000  0.208  0.000
Er  0.000  0.000  0.000
Er  0.000  0.316  0.500
Er  0.244  0.404  0.000
Sc  0.000  0.500  0.500

Summary:
Its energy of formation is 174 meV per atom. The total energy comes out at -91.9 eV for the cell shown. Its total magnetization is 0.00 μB/cell. The calculation puts the density of states at the Fermi level at 29.1 states/eV/cell.


6.
Below is a relaxed Sm4ErSc crystal, with properties calculated at the PBE-GGA level.

Lattice parameters (Å, degrees): 6.148 10.600 6.149 90.00 109.33 90.00
Space group C2/m (No. 12)
Unique sites:
Sm  0.000  0.163  0.000
Sm  0.000  0.334  0.500
Er  0.000  0.500  0.000
Sc  0.000  0.000  0.500

Summary:
Its energy of formation is 35 meV per atom. The total energy comes out at -59.1 eV for the cell shown. Its total magnetization is 0.00 μB/cell. The calculation puts the density of states at the Fermi level at 15.9 states/eV/cell.


7.
Below is a relaxed Sm6Er12Sc crystal, with properties calculated at the PBE-GGA level.

Lattice parameters (Å, degrees): 12.1841 12.1841 14.2202 90.00 90.00 120.00
Space group R-3 (No. 148, hexagonal axes)
Unique sites:
Sm  0.0250  0.5902  0.2103
Er  0.0436  0.8638  0.3106
Er  0.0654  0.1953  0.9062
Sc  0.0000  0.0000  0.5000

Summary:
Its energy of formation is 172 meV per atom. The total energy comes out at -258.4 eV for the cell shown. Its total magnetization is 0.01 μB/cell. The calculation puts the density of states at the Fermi level at 108.4 states/eV/cell.


8.
Below is a relaxed Sm4Er4Sc3 crystal, with properties calculated at the PBE-GGA level.

Lattice parameters (Å, degrees): 10.402 5.509 11.692 90.00 90.00 90.00
Space group Amm2 (No. 38)
Unique sites:
Sm  0.000  0.000  0.000
Sm  0.204  0.000  0.798
Sm  0.500  0.000  0.916
Er  0.000  0.000  0.590
Er  0.299  0.000  0.139
Er  0.500  0.000  0.636
Sc  0.000  0.000  0.296
Sc  0.278  0.000  0.448

Summary:
Its energy of formation is 179 meV per atom. The total energy comes out at -108.3 eV for the cell shown. Its total magnetization is 0.00 μB/cell. The calculation puts the density of states at the Fermi level at 35.5 states/eV/cell.


9.
Below is a relaxed Sm8Er2Sc crystal, with properties calculated at the PBE-GGA level.

Lattice parameters (Å, degrees): 12.017 11.461 5.857 90.00 103.57 90.00
Space group C2/m (No. 12)
Unique sites:
Sm  0.078  0.000  0.287
Sm  0.104  0.256  0.791
Sm  0.229  0.000  0.902
Er  0.134  0.500  0.506
Sc  0.000  0.500  0.000

Summary:
Its energy of formation is 424 meV per atom. The total energy comes out at -97.1 eV for the cell shown. Its total magnetization is 0.00 μB/cell. The calculation puts the density of states at the Fermi level at 29.6 states/eV/cell.


10.
Below is a relaxed Sm8ErSc2 crystal, with properties calculated at the PBE-GGA level.

Lattice parameters (Å, degrees): 8.959 16.028 5.835 90.00 122.25 90.00
Space group C2/m (No. 12)
Unique sites:
Sm  0.000  0.208  0.000
Sm  0.078  0.500  0.794
Sm  0.216  0.119  0.672
Er  0.000  0.000  0.000
Sc  0.000  0.310  0.500

Summary:
Its energy of formation is 161 meV per atom. The total energy comes out at -106.4 eV for the cell shown. Its total magnetization is 0.00 μB/cell. The calculation puts the density of states at the Fermi level at 29.5 states/eV/cell.


11.
Below is a relaxed Sm4Er5Sc3 crystal, with properties calculated at the PBE-GGA level.

Lattice parameters (Å, degrees): 15.867 5.729 9.154 90.00 117.42 90.00
Space group C2/m (No. 12)
Unique sites:
Sm  0.085  0.000  0.448
Sm  0.217  0.000  0.883
Er  0.000  0.000  0.000
Er  0.071  0.500  0.712
Er  0.172  0.500  0.375
Sc  0.000  0.500  0.000
Sc  0.218  0.000  0.240

Summary:
Its energy of formation is 213 meV per atom. The total energy comes out at -116.3 eV for the cell shown. Its total magnetization is 1.46 μB/cell. The calculation puts the density of states at the Fermi level at 38.7 states/eV/cell.


12.
Below is a relaxed Sm4Er3Sc5 crystal, with properties calculated at the PBE-GGA level.

Lattice parameters (Å, degrees): 15.467 5.703 9.308 90.00 119.65 90.00
Space group C2/m (No. 12)
Unique sites:
Sm  0.089  0.000  0.450
Sm  0.212  0.000  0.885
Er  0.000  0.500  0.000
Er  0.228  0.000  0.260
Sc  0.000  0.000  0.000
Sc  0.061  0.500  0.703
Sc  0.166  0.500  0.361

Summary:
Its energy of formation is 238 meV per atom. The total energy comes out at -122.7 eV for the cell shown. Its total magnetization is 1.38 μB/cell. The calculation puts the density of states at the Fermi level at 38.5 states/eV/cell.